1.
First-principles (PBE) data for a relaxed structure of CaAgSe2, as listed in Alexandria via LeMat-Bulk.

Unit cell a=7.1214 b=7.1214 c=7.1214 alpha=90.00 beta=90.00 gamma=90.00
Atoms (fractional coordinates):
Ca1 0.0000 0.0000 0.0000
Ca2 0.0000 0.5000 0.5000
Ca3 0.5000 0.0000 0.5000
Ca4 0.5000 0.5000 0.0000
Ag1 0.2500 0.2500 0.2500
Ag2 0.2500 0.7500 0.7500
Ag3 0.7500 0.2500 0.7500
Ag4 0.7500 0.7500 0.2500
Se1 0.0000 0.0000 0.5000
Se2 0.0000 0.5000 0.0000
Se3 0.2500 0.2500 0.7500
Se4 0.2500 0.7500 0.2500
Se5 0.5000 0.0000 0.0000
Se6 0.5000 0.5000 0.5000
Se7 0.7500 0.2500 0.2500
Se8 0.7500 0.7500 0.7500

## Properties
formation energy without anion corrections	-0.388	eV per atom
total magnetic moment	0.00	μB per formula unit
V	361.16	Å³/cell
space-group type	F-43m, No. 216
N(E_F)	10.8	states/eV per cell

***

2.
First-principles (PBE) data for a relaxed structure of AcPr8Tm6, as listed in Alexandria via LeMat-Bulk.

Unit cell a=9.5666 b=9.5666 c=6.7029 alpha=90.00 beta=90.00 gamma=120.00
Atoms (fractional coordinates):
Ac1 0.0000 0.0000 0.0000
Pr1 0.0126 0.3241 0.3873
Pr2 0.3114 0.9874 0.3873
Pr3 0.3241 0.3114 0.6127
Pr4 0.3333 0.6667 0.6759
Pr5 0.6667 0.3333 0.3241
Pr6 0.6759 0.6886 0.3873
Pr7 0.6886 0.0126 0.6127
Pr8 0.9874 0.6759 0.6127
Tm1 0.0872 0.6733 0.1079
Tm2 0.3267 0.4139 0.1079
Tm3 0.4139 0.0872 0.8921
Tm4 0.5861 0.9128 0.1079
Tm5 0.6733 0.5861 0.8921
Tm6 0.9128 0.3267 0.8921

## Properties
total magnetic moment	0.00	μB per formula unit
V	531.26	Å³/cell
E_form	205	meV per atom
space-group type	P-3, No. 147
N(E_F)	21.1	states/eV per cell

***

3.
First-principles (PBE) data for a relaxed structure of Dy4TmCd2, as listed in Alexandria via LeMat-Bulk.

Unit cell a=10.4455 b=10.4455 c=10.4455 alpha=28.37 beta=28.37 gamma=28.37
Atoms (fractional coordinates):
Dy1 0.1091 0.1091 0.1091
Dy2 0.2958 0.2958 0.2958
Dy3 0.7042 0.7042 0.7042
Dy4 0.8909 0.8909 0.8909
Tm1 0.5000 0.5000 0.5000
Cd1 0.3999 0.3999 0.3999
Cd2 0.6001 0.6001 0.6001

## Properties
total magnetic moment	0.00	μB per formula unit
V	227.43	Å³/cell
E_form	221	meV per atom
space-group type	R-3m, No. 166
N(E_F)	9.4	states/eV per cell

***

4.
First-principles (PBE) data for a relaxed structure of Y3Tc, as listed in Alexandria via LeMat-Bulk.

Unit cell a=3.9258 b=11.9418 c=9.2123 alpha=90.00 beta=90.00 gamma=90.00
Atoms (fractional coordinates):
Y1 0.0000 0.0729 0.2500
Y2 0.0000 0.3560 0.0661
Y3 0.0000 0.3560 0.4339
Y4 0.0000 0.6440 0.5661
Y5 0.0000 0.6440 0.9339
Y6 0.0000 0.9271 0.7500
Y7 0.5000 0.1440 0.5661
Y8 0.5000 0.1440 0.9339
Y9 0.5000 0.4271 0.7500
Y10 0.5000 0.5729 0.2500
Y11 0.5000 0.8560 0.0661
Y12 0.5000 0.8560 0.4339
Tc1 0.0000 0.2602 0.7500
Tc2 0.0000 0.7398 0.2500
Tc3 0.5000 0.2398 0.2500
Tc4 0.5000 0.7602 0.7500

## Properties
total magnetic moment	0.00	μB per formula unit
V	431.88	Å³/cell
E_form	-83	meV per atom
space-group type	Cmcm, No. 63
N(E_F)	14.0	states/eV per cell

***

5.
First-principles (PBE) data for a relaxed structure of KNa3Ga3, as listed in Alexandria via LeMat-Bulk.

Unit cell a=9.4974 b=9.4974 c=9.4974 alpha=46.85 beta=46.85 gamma=46.85
Atoms (fractional coordinates):
K1 0.0898 0.0898 0.0898
K2 0.9102 0.9102 0.9102
Na1 0.1117 0.5990 0.5990
Na2 0.4010 0.4010 0.8883
Na3 0.4010 0.8883 0.4010
Na4 0.5990 0.1117 0.5990
Na5 0.5990 0.5990 0.1117
Na6 0.8883 0.4010 0.4010
Ga1 0.2080 0.2080 0.5760
Ga2 0.2080 0.5760 0.2080
Ga3 0.4240 0.7920 0.7920
Ga4 0.5760 0.2080 0.2080
Ga5 0.7920 0.4240 0.7920
Ga6 0.7920 0.7920 0.4240

## Properties
total magnetic moment	0.00	μB per formula unit
V	416.62	Å³/cell
E_form	-41	meV per atom
space-group type	R-3m, No. 166
N(E_F)	6.9	states/eV per cell

***

6.
First-principles (PBE) data for a relaxed structure of ThSc2Ni, as listed in Alexandria via LeMat-Bulk.

Unit cell a=3.5329 b=11.4582 c=8.9966 alpha=90.00 beta=90.00 gamma=90.00
Atoms (fractional coordinates):
Th1 0.0000 0.0762 0.2500
Th2 0.0000 0.9238 0.7500
Th3 0.5000 0.4238 0.7500
Th4 0.5000 0.5762 0.2500
Sc1 0.0000 0.3613 0.0656
Sc2 0.0000 0.3613 0.4344
Sc3 0.0000 0.6387 0.5656
Sc4 0.0000 0.6387 0.9344
Sc5 0.5000 0.1387 0.5656
Sc6 0.5000 0.1387 0.9344
Sc7 0.5000 0.8613 0.0656
Sc8 0.5000 0.8613 0.4344
Ni1 0.0000 0.2341 0.7500
Ni2 0.0000 0.7659 0.2500
Ni3 0.5000 0.2659 0.2500
Ni4 0.5000 0.7341 0.7500

## Properties
total magnetic moment	0.00	μB per formula unit
V	364.19	Å³/cell
E_form	-239	meV per atom
space-group type	Cmcm, No. 63
N(E_F)	20.9	states/eV per cell
excess energy over the best structure of this formula in the dataset	6.4	meV/atom

***

Which of these has the highest V?
AcPr8Tm6

***

Among the records above, which one has the highest V?
AcPr8Tm6

***

Which of these has the highest V?
AcPr8Tm6